AcSm4Dy after structural relaxation, computed with GGA-PBE.

E_tot in eV/atom: -4.539
Energy relative to the lowest polymorph listed for this composition in eV per atom: 0.000
Crystal system: orthorhombic
E_form in eV per atom: 0.058

Cell lengths 10.645, 10.645, 5.804 Å; angles 90.00, 90.00, 140.73 degrees
Sites, in units of the cell vectors:
Ac  0.123  0.877  0.750
Ac  0.877  0.123  0.250
Sm  0.045  0.462  0.750
Sm  0.218  0.302  0.750
Sm  0.302  0.218  0.250
Sm  0.462  0.045  0.250
Sm  0.538  0.955  0.750
Sm  0.698  0.782  0.750
Sm  0.782  0.698  0.250
Sm  0.955  0.538  0.250
Dy  0.373  0.627  0.250
Dy  0.627  0.373  0.750